VASP calculation (meta-GGA SCAN) on a PBEsol-optimized structure of Li2CaTc.

Results
The calculation puts the total energy at -47.07 eV for the cell shown. The crystal system is orthorhombic. The density of states at the Fermi level is 2.37 states/eV/cell. For the energy of formation from the pure elements, the calculation gives 0.6080 eV/atom. Its space group is Cmmm, No. 65.

Cell lengths 2.6760, 5.4524, 5.4524 Å; angles 118.25, 90.00, 90.00 degrees
Atoms (fractional coordinates):
Li  0.0000  0.0000  0.5000
Li  0.0000  0.5000  0.0000
Ca  0.5000  0.5000  0.5000
Tc  0.5000  0.0000  0.0000